Below is MgAg6Sn2 after structural relaxation, with properties calculated at the PBE level.

abc: 7.228 7.843 7.843
angles: 78.93 63.97 63.97
Fractional positions:
Mg 0.250 0.175 0.825
Mg 0.750 0.825 0.175
Ag 0.189 0.822 0.988
Ag 0.689 0.988 0.822
Ag 0.922 0.384 0.661
Ag 0.133 0.992 0.611
Ag 0.867 0.008 0.389
Ag 0.367 0.389 0.008
Ag 0.078 0.616 0.339
Ag 0.633 0.611 0.992
Ag 0.422 0.661 0.384
Ag 0.311 0.012 0.178
Ag 0.578 0.339 0.616
Ag 0.811 0.178 0.012
Sn 0.404 0.240 0.378
Sn 0.096 0.622 0.760
Sn 0.904 0.378 0.240
Sn 0.596 0.760 0.622

Properties
The formation energy is -2.2 kJ per mole of atoms. For the polymorph energy (0 for the lowest one), the calculation gives 22.9 kJ/mol of formula units. The volume comes out at 359.0 Å³ per cell.